Record 1
{"formula": "RbZn", "functional": "GGA-PBE", "state": "optimized geometry", "cell": [[-3.4578, 5.3656, 4.3579], [-4.7268, -6.2505, 3.9453], [3.4149, -0.4908, 3.3138]], "species": ["Rb", "Rb", "Rb", "Rb", "Zn", "Zn", "Zn", "Zn"], "frac_coords": [[0.0461, 0.5313, 0.0000], [0.5461, 0.7187, 0.0000], [0.2872, 0.0313, 0.5000], [0.7872, 0.2187, 0.5000], [0.4448, 0.3251, 0.0000], [0.9448, 0.9249, 0.0000], [0.3885, 0.4249, 0.5000], [0.8885, 0.8251, 0.5000]], "e_tot_ev_per_atom": -0.973}



Record 2
{"formula": "Y2Tm4LuNi2Te2", "functional": "GGA-PBE", "state": "optimized geometry", "cell": [[4.6301, -3.0997, 7.4228], [-4.5986, 8.0279, 0.7416], [1.0506, -9.2217, -0.0073]], "species": ["Lu", "Ni", "Ni", "Te", "Te", "Tm", "Tm", "Tm", "Tm", "Y", "Y"], "frac_coords": [[0.4751, 0.4751, 0.0000], [0.6396, 0.4011, 0.2385], [0.1626, 0.4011, 0.7615], [0.1394, 0.1394, 0.0000], [0.7427, 0.2427, 0.5000], [0.0287, 0.8956, 0.1331], [0.1030, 0.7490, 0.3540], [0.3950, 0.7490, 0.6460], [0.7624, 0.8956, 0.8669], [0.4143, 0.0988, 0.3155], [0.7833, 0.0988, 0.6845]], "polymorph_energy_kcal_per_mol_atoms": 0.314}



Record 3
{"formula": "TlCu3SnSe4", "functional": "GGA-PBE", "state": "optimized geometry", "cell": [[6.2120, 0.0000, 0.0000], [0.0000, 6.2120, 0.0000], [0.0000, 0.0000, 6.2120]], "species": ["Cu", "Cu", "Cu", "Se", "Se", "Se", "Se", "Sn", "Tl"], "frac_coords": [[0.5000, 0.0000, 0.0000], [0.0000, 0.5000, 0.0000], [0.0000, 0.0000, 0.5000], [0.7632, 0.2368, 0.2368], [0.2368, 0.7632, 0.2368], [0.2368, 0.2368, 0.7632], [0.7632, 0.7632, 0.7632], [0.0000, 0.0000, 0.0000], [0.5000, 0.5000, 0.5000]], "e_tot_ev_per_atom": -3.570}



Record 4
{"formula": "NaZr", "functional": "GGA-PBE", "state": "optimized geometry", "cell": [[-1.7771, 7.3118, 5.6525], [3.4555, -3.7477, 3.9431], [4.3769, 2.3225, -1.6282]], "species": ["Na", "Na", "Na", "Na", "Na", "Na", "Zr", "Zr", "Zr", "Zr", "Zr", "Zr"], "frac_coords": [[0.6903, 0.1692, 0.0000], [0.3518, 0.3454, 0.0000], [0.6880, 0.6776, 0.0000], [0.5341, 0.3780, 0.5000], [0.8703, 0.7101, 0.5000], [0.5322, 0.8865, 0.5000], [0.0340, 0.0043, 0.0000], [0.0401, 0.4907, 0.0000], [0.3030, 0.8322, 0.0000], [0.1881, 0.0513, 0.5000], [0.9191, 0.2233, 0.5000], [0.1820, 0.5648, 0.5000]], "polymorph_energy_kcal_per_mol_atoms": 3.380}



Record 5
{"formula": "YCdCuB", "functional": "GGA-PBE", "state": "optimized geometry", "cell": [[-1.6849, 1.5710, 3.9671], [-4.4114, 1.2239, 0.2942], [-2.9350, -2.5632, 2.4209]], "species": ["B", "Cd", "Cu", "Y"], "frac_coords": [[0.0000, 0.0000, 0.0000], [0.5000, 0.5000, 0.5000], [0.7500, 0.7500, 0.7500], [0.2500, 0.2500, 0.2500]], "polymorph_energy_kcal_per_mol_atoms": 0.000}



Record 6
{"formula": "Ac3Sn2Au4", "functional": "GGA-PBE", "state": "optimized geometry", "cell": [[-3.6302, -0.3546, -5.2364], [0.9368, -1.6481, -6.0934], [-1.1894, -7.7136, 5.3040]], "species": ["Ac", "Ac", "Ac", "Au", "Au", "Au", "Au", "Sn", "Sn"], "frac_coords": [[0.0000, 0.0000, 0.0000], [0.3518, 0.3518, 0.3174], [0.6482, 0.6482, 0.6826], [0.7179, 0.7179, 0.0548], [0.0790, 0.0790, 0.4130], [0.9210, 0.9210, 0.5870], [0.2821, 0.2821, 0.9452], [0.6367, 0.6367, 0.2997], [0.3633, 0.3633, 0.7003]], "e_tot_ev_per_atom": -4.528}



Record 7
{"formula": "DyErFe2Sn2C", "functional": "GGA-PBE", "state": "optimized geometry", "cell": [[-1.5402, -0.0325, 5.7472], [-4.0593, -2.4149, 3.6186], [5.6103, -3.5134, -2.7073]], "species": ["C", "Dy", "Er", "Fe", "Fe", "Sn", "Sn"], "frac_coords": [[0.9993, 0.9993, 0.9981], [0.5436, 0.5436, 0.2641], [0.4573, 0.4573, 0.7383], [0.1812, 0.1812, 0.0717], [0.8183, 0.8183, 0.9271], [0.8346, 0.8346, 0.3017], [0.1656, 0.1656, 0.6990]], "e_tot_ev_per_atom": -6.530}



Record 8
{"formula": "CoPW", "functional": "GGA-PBE", "state": "optimized geometry", "cell": [[-1.6421, -5.5891, 2.8517], [-0.6600, 0.6836, -6.4159], [3.0045, -1.1002, -0.4263]], "species": ["Co", "Co", "Co", "P", "P", "P", "W", "W", "W"], "frac_coords": [[0.6090, 0.0000, 0.5000], [0.3910, 0.3910, 0.5000], [0.0000, 0.6090, 0.5000], [0.6667, 0.3333, 0.0000], [0.3333, 0.6667, 0.0000], [0.0000, 0.0000, 0.5000], [0.2724, 0.0000, 0.0000], [0.0000, 0.2724, 0.0000], [0.7276, 0.7276, 0.0000]], "e_tot_ev_per_atom": -8.545}



Record 9
{"formula": "LaNdAl", "functional": "GGA-PBE", "state": "optimized geometry", "cell": [[-3.9058, -0.9836, 3.2083], [-4.2125, -2.4020, -1.7323], [-0.9831, -4.8418, 1.4511]], "species": ["Al", "La", "Nd"], "frac_coords": [[0.2500, 0.2500, 0.2500], [0.0000, 0.0000, 0.0000], [0.7500, 0.7500, 0.7500]], "e_tot_ev_per_atom": -4.027}



Record 10
{"formula": "LaEr", "functional": "GGA-PBE", "state": "optimized geometry", "cell": [[1.6269, -3.9075, -2.7799], [-2.3060, -4.4943, 0.3555], [-2.8111, -1.7148, -3.8472]], "species": ["Er", "La"], "frac_coords": [[0.0000, 0.0000, 0.0000], [0.2500, 0.2500, 0.2500]], "ef_ev_per_fu": 3.2, "polymorph_energy_kcal_per_mol_atoms": 36.043}



Record 11
{"formula": "LiHfCuPb", "functional": "GGA-PBE", "state": "optimized geometry", "cell": [[-1.9787, -4.3028, 0.0896], [-4.6059, -0.5096, -0.9815], [-1.3452, -2.0728, -4.0411]], "species": ["Cu", "Hf", "Li", "Pb"], "frac_coords": [[0.7500, 0.7500, 0.7500], [0.2500, 0.2500, 0.2500], [0.5000, 0.5000, 0.5000], [0.0000, 0.0000, 0.0000]], "polymorph_energy_kcal_per_mol_atoms": 3.505}



Record 12
{"formula": "Nb4SnB2S", "functional": "GGA-PBE", "state": "optimized geometry", "cell": [[-1.2438, -3.0264, 0.6523], [1.4986, 0.5936, -2.9213], [11.2493, -3.5343, 5.0527]], "species": ["B", "B", "Nb", "Nb", "Nb", "Nb", "S", "Sn"], "frac_coords": [[0.6667, 0.3333, 0.2305], [0.6667, 0.3333, 0.7695], [0.3333, 0.6667, 0.1344], [0.0000, 0.0000, 0.3216], [0.0000, 0.0000, 0.6784], [0.3333, 0.6667, 0.8656], [0.0000, 0.0000, 0.0000], [0.3333, 0.6667, 0.5000]], "e_tot_ev_per_atom": -8.403}



Record 13
{"formula": "LaReNO", "functional": "GGA-PBE", "state": "optimized geometry", "cell": [[4.8681, 0.0000, 0.0000], [0.0000, 4.8681, 0.0000], [0.0000, 0.0000, 4.9847]], "species": ["La", "La", "N", "N", "O", "O", "Re", "Re"], "frac_coords": [[0.7500, 0.2500, 0.5000], [0.2500, 0.7500, 0.5000], [0.7500, 0.7500, 0.3994], [0.2500, 0.2500, 0.6006], [0.7500, 0.2500, 0.0000], [0.2500, 0.7500, 0.0000], [0.7500, 0.7500, 0.0069], [0.2500, 0.2500, 0.9931]], "polymorph_energy_kcal_per_mol_atoms": 24.797}



Record 14
{"formula": "PrSmAg2Pb2", "functional": "GGA-PBE", "state": "optimized geometry", "cell": [[4.8881, 0.0000, 0.0000], [-2.4440, 4.2332, 0.0000], [0.0000, 0.0000, 7.6381]], "species": ["Ag", "Ag", "Pb", "Pb", "Pr", "Sm"], "frac_coords": [[0.6667, 0.3333, 0.1789], [0.3333, 0.6667, 0.6877], [0.3333, 0.6667, 0.2667], [0.6667, 0.3333, 0.7730], [0.0000, 0.0000, 0.4896], [0.0000, 0.0000, 0.9902]], "e_tot_ev_per_atom": -4.218}



Number 1: volume 40.5 Å³ per atom. Number 2: volume 25.6 Å³ per atom. Number 3: volume 26.6 Å³ per atom. Number 4: volume 25.9 Å³ per atom. Number 5: volume 17.1 Å³ per atom. Number 6: volume 27.7 Å³ per atom. Number 7: volume 18.6 Å³ per atom. Number 8: volume 13.1 Å³ per atom. Number 9: volume 32.2 Å³ per atom. Number 10: volume 45.9 Å³ per atom. Number 11: volume 18.8 Å³ per atom. Number 12: volume 15.5 Å³ per atom. Number 13: volume 14.8 Å³ per atom. Number 14: volume 26.3 Å³ per atom.